Below is a relaxed LuNi4Bi crystal, with properties calculated at the PBE level.

Unit cell a=5.030 b=5.030 c=5.030 alpha=60.00 beta=60.00 gamma=60.00
Fractional positions:
1 Ni 0.122 0.626 0.626
2 Ni 0.626 0.122 0.626
3 Ni 0.626 0.626 0.122
4 Ni 0.626 0.626 0.626
5 Lu 0.000 0.000 0.000
6 Bi 0.250 0.250 0.250

total magnetization: 0.00 μB/f.u.
N(E_F): 4.65 states/eV/f.u.
DFT formation energy: -1.6 eV per formula unit
V: 90.0 Å³/cell



Below is a relaxed Ce2Th2ReSi4 crystal, with properties calculated at the PBE level.

Unit cell a=6.447 b=6.447 c=6.447 alpha=102.52 beta=113.05 gamma=113.05
Fractional positions:
1 Si 0.511 0.755 0.755
2 Si 0.000 0.755 0.245
3 Si 0.000 0.245 0.755
4 Si 0.489 0.245 0.245
5 Re 0.000 0.000 0.000
6 Th 0.500 0.750 0.250
7 Th 0.500 0.250 0.750
8 Ce 0.000 0.318 0.318
9 Ce 0.000 0.682 0.682

total magnetization: 0.11 μB/f.u.
N(E_F): 10.46 states/eV/f.u.
E_form (uncorrected): -2.6 eV per formula unit
V: 204.1 Å³/cell



Below is a relaxed CaHg2Pd crystal, with properties calculated at the PBE level.

Unit cell a=7.105 b=7.105 c=7.105 alpha=47.58 beta=146.75 gamma=146.95
Fractional positions:
1 Ca 0.000 0.000 0.000
2 Pd 0.000 0.500 0.500
3 Hg 0.000 0.294 0.294
4 Hg 0.000 0.706 0.706

total magnetization: 0.00 μB/f.u.
N(E_F): 1.34 states/eV/f.u.
DFT formation energy: -1.1 eV per formula unit
V: 106.8 Å³/cell



Below is a relaxed BC3 crystal, with properties calculated at the PBE level.

Unit cell a=4.506 b=4.517 c=5.113 alpha=106.54 beta=106.61 gamma=48.94
Fractional positions:
1 C 0.277 0.734 0.255
2 C 0.667 0.668 0.831
3 C 0.917 0.427 0.586
4 C 0.892 0.438 0.083
5 C 0.332 0.331 0.665
6 C 0.573 0.078 0.905
7 C 0.670 0.669 0.336
8 C 0.578 0.080 0.423
9 C 0.280 0.716 0.749
10 B 0.983 0.017 0.499
11 B 0.987 0.015 0.001
12 B 0.343 0.328 0.168

total magnetization: 0.00 μB/f.u.
N(E_F): 0.71 states/eV/f.u.
DFT formation energy: 1.3 eV per formula unit
V: 74.5 Å³/cell
offset from the most stable computed form: 0.086 eV per atom